DFT (PBE) results for crystalline TbYErIn at its relaxed geometry.

a b c (Å): 4.832 4.863 4.832
angles (deg): 90.00 90.00 90.00
Element x y z (fractional)
Tb: 0.000 0.500 0.500
Y: 0.000 0.000 0.000
Er: 0.500 0.500 0.000
In: 0.500 0.000 0.500

Results
For the energy above the most stable polymorph in this dataset, the calculation gives 0 meV per atom.



DFT (PBE) results for crystalline InHI3 at its relaxed geometry.

a b c (Å): 5.933 5.933 5.933
angles (deg): 90.00 90.00 90.00
Element x y z (fractional)
I: 0.000 0.500 0.000
I: 0.000 0.000 0.500
I: 0.500 0.000 0.000
H: 0.500 0.500 0.500
In: 0.000 0.000 0.000

Results
For the energy above the most stable polymorph in this dataset, the calculation gives 486 meV per atom.



DFT (PBE) results for crystalline Ba2Ge2Pb at its relaxed geometry.

a b c (Å): 9.710 9.710 3.621
angles (deg): 90.00 90.00 90.00
Element x y z (fractional)
Pb: 0.000 0.000 0.000
Pb: 0.500 0.500 0.000
Ge: 0.169 0.669 0.500
Ge: 0.669 0.831 0.500
Ge: 0.831 0.331 0.500
Ge: 0.331 0.169 0.500
Ba: 0.367 0.867 0.000
Ba: 0.867 0.633 0.000
Ba: 0.633 0.133 0.000
Ba: 0.133 0.367 0.000

Results
For the energy above the most stable polymorph in this dataset, the calculation gives 481 meV per atom.



DFT (PBE) results for crystalline KAs3 at its relaxed geometry.

a b c (Å): 5.077 5.077 5.077
angles (deg): 60.00 60.00 60.00
Element x y z (fractional)
As: 0.000 0.000 0.000
As: 0.250 0.250 0.250
As: 0.500 0.500 0.500
K: 0.750 0.750 0.750

Results
For the energy above the most stable polymorph in this dataset, the calculation gives 472 meV per atom.



DFT (PBE) results for crystalline AcGaSn2Ru2 at its relaxed geometry.

a b c (Å): 4.702 4.702 6.174
angles (deg): 90.00 90.00 90.00
Element x y z (fractional)
Ac: 0.000 0.000 0.500
Ga: 0.000 0.000 0.000
Sn: 0.500 0.500 0.745
Sn: 0.500 0.500 0.255
Ru: 0.500 0.000 0.000
Ru: 0.000 0.500 0.000

Results
The final energy comes out at -5.874 eV/atom.



DFT (PBE) results for crystalline GeMoBr2 at its relaxed geometry.

a b c (Å): 4.809 4.809 4.809
angles (deg): 60.00 60.00 60.00
Element x y z (fractional)
Mo: 0.500 0.500 0.500
Ge: 0.000 0.000 0.000
Br: 0.250 0.250 0.250
Br: 0.750 0.750 0.750

Results
For the energy above the most stable polymorph in this dataset, the calculation gives 241 meV per atom. For the raw formation energy, the calculation gives 0.760 eV per atom.